Entry 1:
5
Lattice="-2.181 3.946 -1.485 -1.776 0.656 4.353 3.824 2.556 1.175" Properties=species:S:1:pos:R:3 comment="LaCuTc3 | the Alexandria database | PBE | optimized geometry" relative_energy_mev_per_atom=1112 ef_ev_per_atom=2.28 crystal_system=cubic total_energy_ev_per_cell=-28.75 pbc="T T T"
Tc -0.888 0.328 2.177
Tc 1.912 1.278 0.587
Tc -1.091 1.973 -0.742
Cu -0.066 3.579 2.021
La 0.000 0.000 0.000


Entry 2:
4
Lattice="-0.952 -5.486 0.430 0.679 -1.925 5.198 -2.837 4.268 -2.217" Properties=species:S:1:pos:R:3 comment="La2CuTc | the Alexandria database | PBE | optimized geometry" ef_ev_per_atom=0.23 crystal_system=tetragonal total_energy_ev_per_cell=-23.40 pbc="T T T"
Cu -1.963 -2.461 0.513
La 0.000 0.000 0.000
La -1.148 -0.681 2.897
Tc -0.137 -3.705 2.814


Entry 3:
4
Lattice="-0.144 -4.668 7.043 1.931 -6.792 4.643 3.573 -3.934 6.570" Properties=species:S:1:pos:R:3 comment="La2CuTc | the Alexandria database | PBE | optimized geometry" ef_ev_per_atom=0.28 crystal_system=trigonal total_energy_ev_per_cell=-23.20 pbc="T T T"
Cu 4.020 -11.545 13.692
La 5.334 -15.318 18.167
La 2.706 -7.772 9.217
Tc 1.340 -3.848 4.564